This record from the Alexandria database describes HfAsI2O after structural relaxation. The functional is PBE.

Cell lengths 5.8353, 5.8353, 3.7193 Å; angles 90.00, 90.00, 90.00 degrees
Space group P4/mmm (No. 123)
Symmetry-distinct sites (fractional):
Hf1 0.0000 0.0000 0.0000 x1
As1 0.5000 0.5000 0.5000 x1
I1 0.0000 0.5000 0.5000 x2
O1 0.5000 0.5000 0.0000 x1

Properties
Formation energy from raw total energies = 0.232 eV per atom
Final energy = -4.3007 eV/atom
Offset from the most stable computed form = 0.901 eV/atom

This record from the Alexandria database describes HfBeNiAs2 after structural relaxation. The functional is PBE.

Cell lengths 4.5252, 4.5252, 3.8457 Å; angles 90.00, 90.00, 90.00 degrees
Space group P4/mmm (No. 123)
Symmetry-distinct sites (fractional):
Hf1 0.0000 0.0000 0.0000 x1
Be1 0.5000 0.5000 0.5000 x1
Ni1 0.5000 0.5000 0.0000 x1
As1 0.0000 0.5000 0.5000 x2

Properties
Final energy = -5.6660 eV/atom
Energy of formation from the pure elements = 8 kJ/mol of atoms

This record from the Alexandria database describes CaAcH6Pd2 after structural relaxation. The functional is PBE.

Cell lengths 4.9236, 4.9236, 17.4070 Å; angles 90.00, 90.00, 120.00 degrees
Space group R-3m (No. 166, hexagonal axes)
Symmetry-distinct sites (fractional):
Ca1 0.0000 0.0000 0.0000 x3
Ac1 0.0000 0.0000 0.5000 x3
H1 0.0044 0.5022 0.4370 x18
Pd1 0.0000 0.0000 0.2862 x6

Properties
Final energy = -4.0274 eV/atom

This record from the Alexandria database describes CaTa2Tc after structural relaxation. The functional is PBE.

Cell lengths 5.8127, 9.8289, 2.7880 Å; angles 90.00, 109.61, 90.00 degrees
Space group C2/m (No. 12)
Symmetry-distinct sites (fractional):
Ca1 0.0000 0.0000 0.0000 x2
Ta1 0.2500 0.2500 0.5000 x4
Tc1 0.0000 0.5000 0.0000 x2

Properties
Final energy = -8.4723 eV/atom
Energy of formation from the pure elements = 53 kJ/mol of atoms
Offset from the most stable computed form = 0.280 eV/atom

This record from the Alexandria database describes MnMo2W6 after structural relaxation. The functional is PBE.

Cell lengths 14.1084, 5.3085, 4.4084 Å; angles 90.00, 108.03, 90.00 degrees
Space group C2/m (No. 12)
Symmetry-distinct sites (fractional):
Mn1 0.0000 0.0000 0.0000 x2
Mo1 0.1071 0.5000 0.1076 x4
W1 0.0000 0.2528 0.5000 x4
W2 0.1935 0.2584 0.6940 x8

Properties
Final energy = -11.2481 eV/atom
Energy of formation from the pure elements = 78 kJ/mol of atoms

This record from the Alexandria database describes Li2Se3 after structural relaxation. The functional is PBE.

Cell lengths 4.2489, 4.2489, 25.8837 Å; angles 90.00, 90.00, 120.00 degrees
Space group R-3m (No. 166, hexagonal axes)
Symmetry-distinct sites (fractional):
Li1 0.0000 0.0000 0.1381 x6
Se1 0.0000 0.0000 0.3192 x6
Se2 0.0000 0.0000 0.5000 x3

Properties
Formation energy from raw total energies = -0.525 eV per atom
Final energy = -3.3809 eV/atom
Offset from the most stable computed form = 0.041 eV/atom

- Among the records above, which one has the lowest final energy?
  MnMo2W6

What did the second record say?
This record from the Alexandria database describes HfBeNiAs2 after structural relaxation. The functional is PBE.

Cell lengths 4.5252, 4.5252, 3.8457 Å; angles 90.00, 90.00, 90.00 degrees
Space group P4/mmm (No. 123)
Symmetry-distinct sites (fractional):
Hf1 0.0000 0.0000 0.0000 x1
Be1 0.5000 0.5000 0.5000 x1
Ni1 0.5000 0.5000 0.0000 x1
As1 0.0000 0.5000 0.5000 x2

Properties
Final energy = -5.6660 eV/atom
Energy of formation from the pure elements = 8 kJ/mol of atoms

- Which formula does entry 5 have?
  MnMo2W6